1.
VASP calculation (PBE) on a geometry-optimized Mn3SnPd12 structure.

## Properties
Raw total energy: -6.150 eV/atom
DOS at the Fermi energy: 17.57 states/eV/cell
Size of the total moment: 13.402 μB/f.u.
ΔH_f (0 K): -4.58 eV per formula unit

Unit cell a=3.967 b=3.967 c=15.785 alpha=90.00 beta=90.00 gamma=90.00
Space group P4/mmm (No. 123)
Inequivalent atoms, fractional coordinates:
Mn 0.000 0.000 0.000 x1
Mn 0.000 0.000 0.246 x2
Sn 0.000 0.000 0.500 x1
Pd 0.000 0.500 0.123 x4
Pd 0.000 0.500 0.369 x4
Pd 0.500 0.500 0.000 x1
Pd 0.500 0.500 0.246 x2
Pd 0.500 0.500 0.500 x1

=====

2.
VASP calculation (PBE) on a geometry-optimized Mn3SnPd6 structure.

## Properties
Raw total energy: -6.564 eV/atom
DOS at the Fermi energy: 7.71 states/eV/cell
Size of the total moment: 13.390 μB/f.u.
ΔH_f (0 K): -2.97 eV per formula unit

Unit cell a=8.390 b=4.146 c=9.116 alpha=90.00 beta=95.86 gamma=90.00
Space group P2_1/m (No. 11)
Inequivalent atoms, fractional coordinates:
Mn 0.052 0.250 0.397 x2
Mn 0.154 0.750 0.189 x2
Mn 0.250 0.250 0.980 x2
Sn 0.436 0.250 0.621 x2
Pd 0.035 0.750 0.898 x2
Pd 0.123 0.250 0.690 x2
Pd 0.242 0.750 0.487 x2
Pd 0.338 0.750 0.800 x2
Pd 0.339 0.250 0.289 x2
Pd 0.440 0.750 0.093 x2

=====

3.
VASP calculation (PBE) on a geometry-optimized Mn2SnPd7 structure.

## Properties
Raw total energy: -5.656 eV/atom
DOS at the Fermi energy: 9.80 states/eV/cell
Size of the total moment: 8.880 μB/f.u.
ΔH_f (0 K): 2.13 eV per formula unit

Unit cell a=7.287 b=12.714 c=4.296 alpha=90.00 beta=90.00 gamma=90.00
Space group Cmmm (No. 65)
Inequivalent atoms, fractional coordinates:
Mn 0.000 0.198 0.000 x4
Sn 0.000 0.500 0.500 x2
Pd 0.000 0.000 0.000 x2
Pd 0.000 0.293 0.500 x4
Pd 0.186 0.388 0.000 x8

=====

4.
VASP calculation (PBE) on a geometry-optimized MnSn2Pd9 structure.

## Properties
Raw total energy: -5.730 eV/atom
DOS at the Fermi energy: 8.55 states/eV/cell
Size of the total moment: 4.468 μB/f.u.
ΔH_f (0 K): -4.85 eV per formula unit

Unit cell a=4.017 b=4.017 c=11.905 alpha=90.00 beta=90.00 gamma=90.00
Space group P4/mmm (No. 123)
Inequivalent atoms, fractional coordinates:
Mn 0.000 0.000 0.000 x1
Sn 0.000 0.000 0.328 x2
Pd 0.000 0.500 0.161 x4
Pd 0.000 0.500 0.500 x2
Pd 0.500 0.500 0.000 x1
Pd 0.500 0.500 0.331 x2